Entry 1:
# BeNb2AsRh (PBE-GGA, relaxed)
# * total DFT energy (no corrections): -6.90 eV per atom
# * volume: 16.17 A^3/atom
data_BeNb2AsRh
_chemical_formula_sum 'Be1 Nb2 As1 Rh1'
_symmetry_space_group_name_H-M 'P 1'
_symmetry_Int_Tables_number 1
_cell_length_a 4.493
_cell_length_b 4.003
_cell_length_c 4.493
_cell_angle_alpha 90.00
_cell_angle_beta 90.00
_cell_angle_gamma 90.00
loop_
_symmetry_equiv_pos_as_xyz
'x,y,z'
loop_
_atom_site_label
_atom_site_type_symbol
_atom_site_fract_x
_atom_site_fract_y
_atom_site_fract_z
Nb1 Nb 0.000 0.000 0.500
Nb2 Nb 0.500 0.000 0.000
As1 As 0.500 0.500 0.500
Be1 Be 0.000 0.000 0.000
Rh1 Rh 0.000 0.500 0.000

=====

Entry 2:
# Be2NbSbAs (PBE-GGA, relaxed)
# * total DFT energy (no corrections): -4.30 eV per atom
# * formation energy (no corrections): 956.3 meV per atom
# * volume: 20.98 A^3/atom
data_Be2NbSbAs
_chemical_formula_sum 'Be2 Nb1 Sb1 As1'
_symmetry_space_group_name_H-M 'P 1'
_symmetry_Int_Tables_number 1
_cell_length_a 4.639
_cell_length_b 4.875
_cell_length_c 4.639
_cell_angle_alpha 90.00
_cell_angle_beta 90.00
_cell_angle_gamma 90.00
loop_
_symmetry_equiv_pos_as_xyz
'x,y,z'
loop_
_atom_site_label
_atom_site_type_symbol
_atom_site_fract_x
_atom_site_fract_y
_atom_site_fract_z
Nb1 Nb 0.000 0.000 0.000
Be1 Be 0.500 0.000 0.000
Be2 Be 0.000 0.000 0.500
As1 As 0.000 0.500 0.000
Sb1 Sb 0.500 0.500 0.500

=====

Entry 3:
# BeNbAsSe2 (PBE-GGA, relaxed)
# * total DFT energy (no corrections): -4.58 eV per atom
# * formation energy (no corrections): 502.4 meV per atom
# * energy above the most stable polymorph in this dataset: 0 meV/atom
# * volume: 18.24 A^3/atom
data_BeNbAsSe2
_chemical_formula_sum 'Be1 Nb1 As1 Se2'
_symmetry_space_group_name_H-M 'P 1'
_symmetry_Int_Tables_number 1
_cell_length_a 4.619
_cell_length_b 4.619
_cell_length_c 4.274
_cell_angle_alpha 90.00
_cell_angle_beta 90.00
_cell_angle_gamma 90.00
loop_
_symmetry_equiv_pos_as_xyz
'x,y,z'
loop_
_atom_site_label
_atom_site_type_symbol
_atom_site_fract_x
_atom_site_fract_y
_atom_site_fract_z
Be1 Be 0.000 0.000 0.000
Se1 Se 0.000 0.500 0.000
Se2 Se 0.500 0.000 0.000
As1 As 0.000 0.000 0.500
Nb1 Nb 0.500 0.500 0.500

=====

Entry 4:
# BeNbAs2Se (PBE-GGA, relaxed)
# * total DFT energy (no corrections): -4.65 eV per atom
# * formation energy (no corrections): 666.7 meV per atom
# * energy above the most stable polymorph in this dataset: 99 meV/atom
# * volume: 25.17 A^3/atom
data_BeNbAs2Se
_chemical_formula_sum 'Be1 Nb1 As2 Se1'
_symmetry_space_group_name_H-M 'P 1'
_symmetry_Int_Tables_number 1
_cell_length_a 5.041
_cell_length_b 5.041
_cell_length_c 4.953
_cell_angle_alpha 90.00
_cell_angle_beta 90.00
_cell_angle_gamma 90.00
loop_
_symmetry_equiv_pos_as_xyz
'x,y,z'
loop_
_atom_site_label
_atom_site_type_symbol
_atom_site_fract_x
_atom_site_fract_y
_atom_site_fract_z
As1 As 0.500 0.000 0.000
As2 As 0.000 0.500 0.000
Se1 Se 0.000 0.000 0.500
Nb1 Nb 0.000 0.000 0.000
Be1 Be 0.500 0.500 0.500

=====

Entry 5:
# BeNbAsSe2 (PBE-GGA, relaxed)
# * total DFT energy (no corrections): -4.56 eV per atom
# * formation energy (no corrections): 522.8 meV per atom
# * energy above the most stable polymorph in this dataset: 20 meV/atom
# * volume: 25.48 A^3/atom
data_BeNbAsSe2
_chemical_formula_sum 'Be1 Nb1 As1 Se2'
_symmetry_space_group_name_H-M 'P 1'
_symmetry_Int_Tables_number 1
_cell_length_a 4.987
_cell_length_b 4.987
_cell_length_c 5.122
_cell_angle_alpha 90.00
_cell_angle_beta 90.00
_cell_angle_gamma 90.00
loop_
_symmetry_equiv_pos_as_xyz
'x,y,z'
loop_
_atom_site_label
_atom_site_type_symbol
_atom_site_fract_x
_atom_site_fract_y
_atom_site_fract_z
Se1 Se 0.500 0.000 0.000
Se2 Se 0.000 0.500 0.000
Be1 Be 0.500 0.500 0.500
As1 As 0.000 0.000 0.500
Nb1 Nb 0.000 0.000 0.000

=====

Entry 6:
# BeNbAs2Se (PBE-GGA, relaxed)
# * total DFT energy (no corrections): -4.75 eV per atom
# * formation energy (no corrections): 567.3 meV per atom
# * energy above the most stable polymorph in this dataset: 0 meV/atom
# * volume: 18.04 A^3/atom
data_BeNbAs2Se
_chemical_formula_sum 'Be1 Nb1 As2 Se1'
_symmetry_space_group_name_H-M 'P 1'
_symmetry_Int_Tables_number 1
_cell_length_a 4.278
_cell_length_b 4.278
_cell_length_c 4.929
_cell_angle_alpha 90.00
_cell_angle_beta 90.00
_cell_angle_gamma 90.00
loop_
_symmetry_equiv_pos_as_xyz
'x,y,z'
loop_
_atom_site_label
_atom_site_type_symbol
_atom_site_fract_x
_atom_site_fract_y
_atom_site_fract_z
Se1 Se 0.000 0.000 0.500
As1 As 0.500 0.000 0.000
As2 As 0.000 0.500 0.000
Nb1 Nb 0.500 0.500 0.500
Be1 Be 0.000 0.000 0.000

=====

Entry 7:
# NdBeAs2 (PBE-GGA, relaxed)
# * total DFT energy (no corrections): -4.69 eV per atom
# * energy above the most stable polymorph in this dataset: 470 meV/atom
# * volume: 30.39 A^3/atom
data_NdBeAs2
_chemical_formula_sum 'Nd1 Be1 As2'
_symmetry_space_group_name_H-M 'P 1'
_symmetry_Int_Tables_number 1
_cell_length_a 4.334
_cell_length_b 4.334
_cell_length_c 7.881
_cell_angle_alpha 74.04
_cell_angle_beta 74.04
_cell_angle_gamma 60.00
loop_
_symmetry_equiv_pos_as_xyz
'x,y,z'
loop_
_atom_site_label
_atom_site_type_symbol
_atom_site_fract_x
_atom_site_fract_y
_atom_site_fract_z
As1 As 0.907 0.907 0.278
As2 As 0.093 0.093 0.722
Nd1 Nd 0.500 0.500 0.500
Be1 Be 0.000 0.000 0.000

=====

Entry 8:
# NdBeAs (PBE-GGA, relaxed)
# * total DFT energy (no corrections): -5.25 eV per atom
# * energy above the most stable polymorph in this dataset: 0 meV/atom
# * volume: 18.94 A^3/atom
data_NdBeAs
_chemical_formula_sum 'Nd1 Be1 As1'
_symmetry_space_group_name_H-M 'P 1'
_symmetry_Int_Tables_number 1
_cell_length_a 4.334
_cell_length_b 3.891
_cell_length_c 3.891
_cell_angle_alpha 120.00
_cell_angle_beta 90.00
_cell_angle_gamma 90.00
loop_
_symmetry_equiv_pos_as_xyz
'x,y,z'
loop_
_atom_site_label
_atom_site_type_symbol
_atom_site_fract_x
_atom_site_fract_y
_atom_site_fract_z
Be1 Be 0.166 0.667 0.333
As1 As 0.167 0.000 0.000
Nd1 Nd 0.667 0.333 0.667

=====

Entry 9:
# NdBeAs2 (PBE-GGA, relaxed)
# * total DFT energy (no corrections): -5.15 eV per atom
# * energy above the most stable polymorph in this dataset: 12 meV/atom
# * volume: 19.61 A^3/atom
data_NdBeAs2
_chemical_formula_sum 'Nd2 Be2 As4'
_symmetry_space_group_name_H-M 'P 1'
_symmetry_Int_Tables_number 1
_cell_length_a 3.982
_cell_length_b 3.982
_cell_length_c 10.284
_cell_angle_alpha 101.16
_cell_angle_beta 101.16
_cell_angle_gamma 89.99
loop_
_symmetry_equiv_pos_as_xyz
'x,y,z'
loop_
_atom_site_label
_atom_site_type_symbol
_atom_site_fract_x
_atom_site_fract_y
_atom_site_fract_z
Nd1 Nd 0.116 0.116 0.231
Nd2 Nd 0.885 0.885 0.769
As1 As 0.999 0.500 0.000
As2 As 0.315 0.315 0.629
As3 As 0.500 0.999 0.000
As4 As 0.686 0.686 0.371
Be1 Be 0.250 0.750 0.500
Be2 Be 0.750 0.250 0.500

=====

Entry 10:
# NdBeAs (PBE-GGA, relaxed)
# * total DFT energy (no corrections): -4.68 eV per atom
# * energy above the most stable polymorph in this dataset: 569 meV/atom
# * volume: 25.05 A^3/atom
data_NdBeAs
_chemical_formula_sum 'Nd2 Be2 As2'
_symmetry_space_group_name_H-M 'P 1'
_symmetry_Int_Tables_number 1
_cell_length_a 4.851
_cell_length_b 4.851
_cell_length_c 7.890
_cell_angle_alpha 72.10
_cell_angle_beta 72.10
_cell_angle_gamma 60.00
loop_
_symmetry_equiv_pos_as_xyz
'x,y,z'
loop_
_atom_site_label
_atom_site_type_symbol
_atom_site_fract_x
_atom_site_fract_y
_atom_site_fract_z
Be1 Be 0.821 0.821 0.538
Be2 Be 0.179 0.179 0.462
As1 As 0.279 0.279 0.163
As2 As 0.721 0.721 0.837
Nd1 Nd 0.411 0.411 0.766
Nd2 Nd 0.589 0.589 0.234

=====

Entry 11:
# NdBeAs2 (PBE-GGA, relaxed)
# * total DFT energy (no corrections): -5.16 eV per atom
# * energy above the most stable polymorph in this dataset: 0 meV/atom
# * volume: 19.56 A^3/atom
data_NdBeAs2
_chemical_formula_sum 'Nd2 Be2 As4'
_symmetry_space_group_name_H-M 'P 1'
_symmetry_Int_Tables_number 1
_cell_length_a 3.957
_cell_length_b 3.957
_cell_length_c 9.992
_cell_angle_alpha 90.00
_cell_angle_beta 90.00
_cell_angle_gamma 90.00
loop_
_symmetry_equiv_pos_as_xyz
'x,y,z'
loop_
_atom_site_label
_atom_site_type_symbol
_atom_site_fract_x
_atom_site_fract_y
_atom_site_fract_z
As1 As 0.000 0.000 0.500
As2 As 0.500 0.000 0.129
As3 As 0.000 0.500 0.871
As4 As 0.500 0.500 0.500
Be1 Be 0.500 0.500 0.000
Be2 Be 0.000 0.000 0.000
Nd1 Nd 0.500 0.000 0.733
Nd2 Nd 0.000 0.500 0.267

=====

Entry 12:
# NdBe3As3 (PBE-GGA, relaxed)
# * total DFT energy (no corrections): -4.77 eV per atom
# * volume: 18.93 A^3/atom
data_NdBe3As3
_chemical_formula_sum 'Nd2 Be6 As6'
_symmetry_space_group_name_H-M 'P 1'
_symmetry_Int_Tables_number 1
_cell_length_a 6.700
_cell_length_b 6.700
_cell_length_c 7.838
_cell_angle_alpha 64.70
_cell_angle_beta 64.70
_cell_angle_gamma 60.00
loop_
_symmetry_equiv_pos_as_xyz
'x,y,z'
loop_
_atom_site_label
_atom_site_type_symbol
_atom_site_fract_x
_atom_site_fract_y
_atom_site_fract_z
As1 As 0.769 0.419 0.720
As2 As 0.093 0.769 0.720
As3 As 0.231 0.581 0.280
As4 As 0.419 0.093 0.720
As5 As 0.907 0.231 0.280
As6 As 0.581 0.907 0.280
Be1 Be 0.786 0.127 0.625
Be2 Be 0.462 0.786 0.625
Be3 Be 0.873 0.538 0.375
Be4 Be 0.538 0.214 0.375
Be5 Be 0.214 0.873 0.375
Be6 Be 0.127 0.462 0.625
Nd1 Nd 0.334 0.334 0.999
Nd2 Nd 0.666 0.666 0.001